A relaxed structure of La2PuNiO6, computed with PBE with a Hubbard U.

Geometry as extended XYZ:
```
20
Lattice="5.765 0.000 0.000 0.000 5.931 0.000 -5.613 0.000 8.312" Properties=species:S:1:pos:R:3 pbc="T T T"
La -0.058 0.309 2.062
La -2.864 2.657 6.218
La 3.016 3.274 2.094
La 0.210 5.622 6.250
Pu 2.882 0.000 0.000
Pu 0.076 2.965 4.156
Ni -2.806 0.000 4.156
Ni 0.000 2.965 0.000
O -4.505 1.206 7.825
O -1.699 1.760 3.669
O -3.925 4.139 7.799
O -1.119 4.758 3.643
O -2.111 0.253 6.192
O 0.696 2.712 2.036
O -0.543 3.219 6.276
O 2.263 5.677 2.120
O 1.271 1.173 4.669
O 4.077 1.792 0.513
O 1.851 4.171 4.643
O 4.657 4.725 0.487
```

Its volume is 14.2 Å³ per atom. The space group is P2_1/c, No. 14. The calculation puts the total DFT energy (no corrections) at -169.05 eV for the cell shown.